Below is an optimized crystal structure of PmV2AgO7, with properties calculated at the PBE+U level.

Values from the calculation:
Space group ... P4/mmm (123)
Energy ... -78.25 eV/cell

a b c (Å): 3.665 3.665 10.587
angles (deg): 90.00 90.00 90.00
Fractional coordinates of all 11 atoms:
O 0.500 0.500 0.374
O 0.000 0.500 0.824
O 0.500 0.000 0.824
O 0.000 0.500 0.176
O 0.500 0.500 0.000
O 0.500 0.500 0.626
O 0.500 0.000 0.176
V 0.500 0.500 0.786
V 0.500 0.500 0.214
Ag 0.000 0.000 0.500
Pm 0.000 0.000 0.000